LaAlNiPd | PBE-GGA | optimized geometry

The structure in extended XYZ format:
```
4
Lattice="2.159 1.247 4.945 -2.159 1.247 4.945 0.000 -2.493 4.945" Properties=species:S:1:pos:R:3 pbc="T T T"
La 0.000 0.000 0.000
Al 0.000 0.000 7.511
Ni 0.000 0.000 2.996
Pd 0.000 0.000 11.805
```

## Properties
**Energy of formation**: -0.69 eV per atom
**Density**: 6.88 Mg/m³
**Space-group type**: R3m (160)
**M_tot**: 0.00 μB per atom